# CaMnNb2 | Alexandria | PBE-GGA | relaxed
data_CaMnNb2
_space_group_name_H-M_alt 'F m -3 m'
_space_group_IT_number 225
_space_group_name_Hall '-F 4 2 3'
_cell_length_a 6.552
_cell_length_b 6.552
_cell_length_c 6.552
_cell_angle_alpha 90.00
_cell_angle_beta 90.00
_cell_angle_gamma 90.00
loop_
_atom_site_label
_atom_site_fract_x
_atom_site_fract_y
_atom_site_fract_z
_atom_site_occupancy
Ca1 0.000 0.000 0.000 1
Mn1 0.000 0.000 0.500 1
Nb1 0.250 0.250 0.250 1
# * E above lowest polymorph: 0.0 meV/atom
# * crystal system: cubic
# * ΔE_f: 2.90 eV per formula unit


# TlSnP2 | Alexandria | PBE-GGA | relaxed
data_TlSnP2
_space_group_name_H-M_alt 'R -3 m'
_space_group_IT_number 166
_space_group_name_Hall '-R 3 2"'
_cell_length_a 3.9504
_cell_length_b 3.9504
_cell_length_c 19.9405
_cell_angle_alpha 90.00
_cell_angle_beta 90.00
_cell_angle_gamma 120.00
loop_
_atom_site_label
_atom_site_fract_x
_atom_site_fract_y
_atom_site_fract_z
_atom_site_occupancy
Tl1 0.0000 0.0000 0.0000 1
Sn1 0.0000 0.0000 0.5000 1
P1 0.0000 0.0000 0.2422 1
# * E above lowest polymorph: 0.0 meV/atom
# * crystal system: trigonal
# * ΔE_f: 0.57 eV per formula unit